(1)
# PuThNbN3, relaxed, DFT PBE-GGA
data_PuThNbN3
_chemical_formula_sum 'Pu2 Th2 Nb2 N6'
_cell_length_a 5.8846
_cell_length_b 3.4287
_cell_length_c 8.7714
_cell_angle_alpha 90.00
_cell_angle_beta 102.72
_cell_angle_gamma 90.00
_space_group_name_H-M_alt 'P 1 21/m 1'
_space_group_IT_number 11
loop_
_space_group_symop_operation_xyz
'x,y,z'
'-x,-y,-z'
'-x,y+1/2,-z'
'x,-y+1/2,z'
loop_
_atom_site_label
_atom_site_type_symbol
_atom_site_fract_x
_atom_site_fract_y
_atom_site_fract_z
Pu1 Pu 0.1360 0.2500 0.1765
Th1 Th 0.2665 0.7500 0.5538
Nb1 Nb 0.3814 0.2500 0.8794
N1 N 0.0578 0.2500 0.6867
N2 N 0.2393 0.7500 0.9940
N3 N 0.4503 0.7500 0.3242
# - calculated volume (Å³ per cell) = 173
# - M_tot (μB/atom) = 0.724
# - energy relative to the elements, uncorrected (eV/atom) = -1.272



(2)
# LuThSe, relaxed, DFT PBE-GGA
data_LuThSe
_chemical_formula_sum 'Lu1 Th1 Se1'
_cell_length_a 3.8003
_cell_length_b 3.8003
_cell_length_c 6.8244
_cell_angle_alpha 90.00
_cell_angle_beta 90.00
_cell_angle_gamma 120.00
_space_group_name_H-M_alt 'P 3 m 1'
_space_group_IT_number 156
loop_
_space_group_symop_operation_xyz
'x,y,z'
'-y,x-y,z'
'-x+y,-x,z'
'-y,-x,z'
'-x+y,y,z'
'x,x-y,z'
loop_
_atom_site_label
_atom_site_type_symbol
_atom_site_fract_x
_atom_site_fract_y
_atom_site_fract_z
Lu1 Lu 0.0000 0.0000 0.0000
Th1 Th 0.3333 0.6667 0.5797
Se1 Se 0.6667 0.3333 0.2703
# - calculated volume (Å³ per cell) = 85
# - M_tot (μB/atom) = 0.253
# - energy relative to the elements, uncorrected (eV/atom) = -0.918



(3)
# TiRhPbO6, relaxed, DFT PBE-GGA
data_TiRhPbO6
_chemical_formula_sum 'Ti1 Rh1 Pb1 O6'
_cell_length_a 5.1596
_cell_length_b 5.1596
_cell_length_c 4.8005
_cell_angle_alpha 90.00
_cell_angle_beta 90.00
_cell_angle_gamma 120.00
_space_group_name_H-M_alt 'P 3 1 2'
_space_group_IT_number 149
loop_
_space_group_symop_operation_xyz
'x,y,z'
'-y,x-y,z'
'-x+y,-x,z'
'-y,-x,-z'
'-x+y,y,-z'
'x,x-y,-z'
loop_
_atom_site_label
_atom_site_type_symbol
_atom_site_fract_x
_atom_site_fract_y
_atom_site_fract_z
Ti1 Ti 0.0000 0.0000 0.0000
Rh1 Rh 0.3333 0.6667 0.0000
Pb1 Pb 0.6667 0.3333 0.5000
O1 O 0.0244 0.3290 0.2280
# - calculated volume (Å³ per cell) = 111
# - M_tot (μB/atom) = 0.111
# - energy relative to the elements, uncorrected (eV/atom) = -1.478



(4)
# LaTcOs2, relaxed, DFT PBE-GGA
data_LaTcOs2
_chemical_formula_sum 'La2 Tc2 Os4'
_cell_length_a 2.9537
_cell_length_b 4.8313
_cell_length_c 9.6689
_cell_angle_alpha 90.00
_cell_angle_beta 90.00
_cell_angle_gamma 90.00
_space_group_name_H-M_alt 'C m m 2'
_space_group_IT_number 35
loop_
_space_group_symop_operation_xyz
'x,y,z'
'-x,-y,z'
'-x,y,z'
'x,-y,z'
'x+1/2,y+1/2,z'
'-x+1/2,-y+1/2,z'
'-x+1/2,y+1/2,z'
'x+1/2,-y+1/2,z'
loop_
_atom_site_label
_atom_site_type_symbol
_atom_site_fract_x
_atom_site_fract_y
_atom_site_fract_z
La1 La 0.0000 0.0000 0.0000
Tc1 Tc 0.0000 0.5000 0.2784
Os1 Os 0.0000 0.0000 0.5005
Os2 Os 0.0000 0.5000 0.7296
# - calculated volume (Å³ per cell) = 138
# - M_tot (μB/atom) = 0.000
# - energy of formation from the pure elements (meV per atom) = 743



(5)
# BeAgAuBr2, relaxed, DFT PBE-GGA
data_BeAgAuBr2
_chemical_formula_sum 'Be1 Ag1 Au1 Br2'
_cell_length_a 5.2477
_cell_length_b 5.2477
_cell_length_c 5.5035
_cell_angle_alpha 90.00
_cell_angle_beta 90.00
_cell_angle_gamma 90.00
_space_group_name_H-M_alt 'P 4/m m m'
_space_group_IT_number 123
_space_group_name_Hall '-P 4 2'
loop_
_atom_site_label
_atom_site_type_symbol
_atom_site_fract_x
_atom_site_fract_y
_atom_site_fract_z
Be1 Be 0.0000 0.0000 0.0000
Ag1 Ag 0.5000 0.5000 0.0000
Au1 Au 0.5000 0.5000 0.5000
Br1 Br 0.0000 0.5000 0.5000
# - calculated volume (Å³ per cell) = 152
# - M_tot (μB/atom) = 0.000
# - energy relative to the elements, uncorrected (eV/atom) = 0.790



(6)
# Li4Mg3Ag2, relaxed, DFT PBE-GGA
data_Li4Mg3Ag2
_chemical_formula_sum 'Li8 Mg6 Ag4'
_cell_length_a 9.8217
_cell_length_b 4.7115
_cell_length_c 7.3518
_cell_angle_alpha 90.00
_cell_angle_beta 104.41
_cell_angle_gamma 90.00
_space_group_name_H-M_alt 'C 1 2/m 1'
_space_group_IT_number 12
loop_
_space_group_symop_operation_xyz
'x,y,z'
'-x,-y,-z'
'-x,y,-z'
'x,-y,z'
'x+1/2,y+1/2,z'
'-x+1/2,-y+1/2,-z'
'-x+1/2,y+1/2,-z'
'x+1/2,-y+1/2,z'
loop_
_atom_site_label
_atom_site_type_symbol
_atom_site_fract_x
_atom_site_fract_y
_atom_site_fract_z
Li1 Li 0.1231 0.0000 0.1435
Li2 Li 0.1819 0.5000 0.5077
Mg1 Mg 0.0000 0.0000 0.5000
Mg2 Mg 0.0581 0.5000 0.8265
Ag1 Ag 0.2311 0.0000 0.8190
# - calculated volume (Å³ per cell) = 329
# - M_tot (μB/atom) = 0.000
# - energy of formation from the pure elements (meV per atom) = -153